1.
{
  "formula": "Rb9I3O2F",
  "functional": "PBE",
  "state": "relaxed",
  "formation_energy_uncorrected_mev_per_atom": -1311.2,
  "space_group": "P-3m1",
  "crystal_system": "trigonal",
  "vol_a3_per_fu": 574.9,
  "dos_at_fermi_per_ev_atom": 0.133,
  "cell": [[8.151, 0.000, 0.000], [-4.075, 7.059, 0.000], [0.000, 0.000, 9.992]],
  "species": ["Rb", "Rb", "Rb", "Rb", "Rb", "Rb", "Rb", "Rb", "Rb", "F", "I", "I", "I", "O", "O"],
  "frac_coords": [[0.000, 0.500, 0.000], [0.172, 0.345, 0.325], [0.828, 0.655, 0.675], [0.500, 0.000, 0.000], [0.500, 0.500, 0.000], [0.172, 0.828, 0.325], [0.655, 0.828, 0.325], [0.345, 0.172, 0.675], [0.828, 0.172, 0.675], [0.000, 0.000, 0.500], [0.000, 0.000, 0.000], [0.333, 0.667, 0.663], [0.667, 0.333, 0.337], [0.333, 0.667, 0.173], [0.667, 0.333, 0.827]]
}

2.
{
  "formula": "RbIOF2",
  "functional": "PBE",
  "state": "relaxed",
  "formation_energy_uncorrected_mev_per_atom": -248.1,
  "space_group": "P4/mmm",
  "de_polymorph_kj_per_mol_fu": 506,
  "crystal_system": "tetragonal",
  "vol_a3_per_fu": 132.4,
  "dos_at_fermi_per_ev_atom": 0.846,
  "cell": [[-3.312, 3.665, -0.663], [-0.375, -1.211, -4.820], [-3.961, -3.370, 1.155]],
  "species": ["Rb", "F", "F", "O", "I"],
  "frac_coords": [[0.000, 0.000, 0.000], [0.500, 0.000, 0.000], [0.000, 0.500, 0.000], [0.000, 0.000, 0.500], [0.500, 0.500, 0.500]]
}

3.
{
  "formula": "RbI2OF",
  "functional": "PBE",
  "state": "relaxed",
  "formation_energy_uncorrected_mev_per_atom": -271.0,
  "space_group": "P4/mmm",
  "de_polymorph_kj_per_mol_fu": 0,
  "crystal_system": "tetragonal",
  "vol_a3_per_fu": 158.1,
  "dos_at_fermi_per_ev_atom": 1.502,
  "cell": [[-4.448, 2.042, 0.719], [-0.508, -2.581, 4.189], [2.748, 4.823, 3.305]],
  "species": ["O", "I", "I", "Rb", "F"],
  "frac_coords": [[0.000, 0.000, 0.500], [0.000, 0.500, 0.000], [0.500, 0.000, 0.000], [0.500, 0.500, 0.500], [0.000, 0.000, 0.000]]
}

4.
{
  "formula": "Rb12IO3F4",
  "functional": "PBE",
  "state": "relaxed",
  "formation_energy_uncorrected_mev_per_atom": -1565.6,
  "space_group": "Im-3",
  "crystal_system": "cubic",
  "vol_a3_per_fu": 621.1,
  "dos_at_fermi_per_ev_atom": 0.130,
  "cell": [[9.309, 0.000, 0.000], [-3.103, 8.777, 0.000], [-3.103, -4.388, 7.601]],
  "species": ["Rb", "Rb", "Rb", "Rb", "Rb", "Rb", "Rb", "Rb", "Rb", "Rb", "Rb", "Rb", "F", "F", "F", "F", "I", "O", "O", "O"],
  "frac_coords": [[0.179, 0.503, 0.324], [0.179, 0.855, 0.676], [0.497, 0.676, 0.821], [0.145, 0.324, 0.821], [0.821, 0.497, 0.676], [0.324, 0.179, 0.503], [0.855, 0.676, 0.179], [0.821, 0.145, 0.324], [0.676, 0.821, 0.497], [0.503, 0.324, 0.179], [0.676, 0.179, 0.855], [0.324, 0.821, 0.145], [0.500, 0.500, 0.500], [0.500, 0.000, 0.000], [0.000, 0.000, 0.500], [0.000, 0.500, 0.000], [0.000, 0.000, 0.000], [0.500, 0.500, 0.000], [0.500, 0.000, 0.500], [0.000, 0.500, 0.500]]
}

5.
{
  "formula": "RbI2OF",
  "functional": "PBE",
  "state": "relaxed",
  "formation_energy_uncorrected_mev_per_atom": 301.8,
  "space_group": "P4/mmm",
  "de_polymorph_kj_per_mol_fu": 276,
  "crystal_system": "tetragonal",
  "vol_a3_per_fu": 281.0,
  "dos_at_fermi_per_ev_atom": 2.866,
  "cell": [[-5.842, 3.988, -0.345], [-3.227, -5.052, -3.770], [-1.874, -2.336, 4.735]],
  "species": ["Rb", "I", "I", "F", "O"],
  "frac_coords": [[0.000, 0.000, 0.000], [0.500, 0.000, 0.000], [0.000, 0.500, 0.000], [0.500, 0.500, 0.500], [0.000, 0.000, 0.500]]
}

6.
{
  "formula": "ReIO2F",
  "functional": "PBE",
  "state": "relaxed",
  "formation_energy_uncorrected_mev_per_atom": 859.3,
  "space_group": "P4/mmm",
  "crystal_system": "tetragonal",
  "vol_a3_per_fu": 96.1,
  "dos_at_fermi_per_ev_atom": 0.571,
  "cell": [[-1.075, -2.641, -2.881], [3.728, 0.204, -1.578], [1.692, -4.427, 3.426]],
  "species": ["F", "Re", "I", "O", "O"],
  "frac_coords": [[0.000, 0.000, 0.500], [0.500, 0.500, 0.500], [0.000, 0.000, 0.000], [0.000, 0.500, 0.000], [0.500, 0.000, 0.000]]
}

7.
{
  "formula": "ReIO2F",
  "functional": "PBE",
  "state": "relaxed",
  "formation_energy_uncorrected_mev_per_atom": 1492.1,
  "space_group": "P4/mmm",
  "crystal_system": "tetragonal",
  "vol_a3_per_fu": 76.7,
  "dos_at_fermi_per_ev_atom": 0.703,
  "cell": [[4.312, 0.000, 0.000], [0.000, 4.312, 0.000], [0.000, 0.000, 4.124]],
  "species": ["I", "F", "O", "O", "Re"],
  "frac_coords": [[0.000, 0.000, 0.500], [0.000, 0.000, 0.000], [0.000, 0.500, 0.000], [0.500, 0.000, 0.000], [0.500, 0.500, 0.500]]
}

8.
{
  "formula": "ReIO2F",
  "functional": "PBE",
  "state": "relaxed",
  "formation_energy_uncorrected_mev_per_atom": -927.9,
  "space_group": "P4/mmm",
  "crystal_system": "tetragonal",
  "vol_a3_per_fu": 80.3,
  "dos_at_fermi_per_ev_atom": 0.592,
  "cell": [[3.793, 0.000, 0.000], [0.000, 3.793, 0.000], [0.000, 0.000, 5.583]],
  "species": ["I", "Re", "F", "O", "O"],
  "frac_coords": [[0.000, 0.000, 0.500], [0.000, 0.000, 0.000], [0.500, 0.500, 0.500], [0.500, 0.000, 0.000], [0.000, 0.500, 0.000]]
}